Computed, not measured: a geometry-optimized BeRhF2 structure at the GGA-PBEsol level of DFT.

Properties
theoretical density: 5.51 g cm⁻³
size of the total moment: 1.314 μB/f.u.
E_form (uncorrected): -1.323 eV per atom

Cell: 5.0357 5.0357 5.0357 Å, 60.00 60.00 60.00°
With the nearest neighbours (Å) after each atom.
Element x y z (fractional)
F1 0.1250 0.6250 0.1250  2 Be 1.54
F2 0.1250 0.1250 0.1250  2 Be 1.54
F3 0.6250 0.1250 0.1250  2 Be 1.54
F4 0.1250 0.1250 0.6250  2 Be 1.54
Rh1 0.7500 0.7500 0.7500  12 F 2.95, 4 Rh 3.08, 4 Be 3.08
Rh2 0.5000 0.5000 0.5000  12 F 2.95, 4 Be 3.08, 4 Rh 3.08
Be1 0.0000 0.0000 0.0000  4 F 1.54
Be2 0.2500 0.2500 0.2500  4 F 1.54